No. 1
Compound: TcRu4Rh
Source: Alexandria
Functional: GGA-PBE
Structure: optimized geometry

Cell and atoms, written as extended XYZ:
```
6
Lattice="-3.541 -3.558 0.062 -2.668 -0.813 4.173 -4.849 1.288 0.170" Properties=species:S:1:pos:R:3 pbc="T T T"
Ru -6.574 -0.509 1.736
Ru -5.480 -1.563 3.743
Ru -5.918 -2.939 1.681
Ru -4.142 -1.155 1.650
Rh 0.000 0.000 0.000
Tc -8.293 -2.313 3.304
```

Output
DOS(E_F) in states/eV per atom: 2.041
Magnetic moment in μB per formula unit: 0.00
Crystal system: cubic
Calculated total energy in eV per atom: -8.62
Energy of formation in eV per atom: 0.51
Offset from the most stable computed form in eV/f.u.: 1.60

***

No. 2
Compound: Zr6Tl2H
Source: Alexandria
Functional: GGA-PBE
Structure: optimized geometry

Cell and atoms, written as extended XYZ:
```
18
Lattice="6.160 0.000 0.276 0.000 6.046 0.000 -0.386 0.000 10.133" Properties=species:S:1:pos:R:3 pbc="T T T"
Zr 0.690 1.796 4.971
Zr 3.744 3.147 2.690
Zr 5.083 4.250 5.438
Zr 3.667 1.467 5.400
Zr 2.197 4.819 0.233
Zr 0.471 5.921 7.618
Zr 4.993 4.490 10.213
Zr 2.029 2.899 7.719
Zr 0.781 1.556 0.196
Zr 2.106 4.578 5.009
Zr 3.576 1.227 10.175
Zr 5.302 0.124 2.790
Tl 5.212 2.578 7.903
Tl 0.561 3.468 2.505
Tl 3.448 5.601 7.709
Tl 2.325 0.445 2.699
H 3.080 3.023 0.138
H -0.193 0.000 5.066
```

Output
DOS(E_F) in states/eV per atom: 1.128
Magnetic moment in μB per formula unit: 0.00
Crystal system: monoclinic
Calculated total energy in eV per atom: -6.65
Offset from the most stable computed form in eV/f.u.: 1.32

***

Q: What is the formula in the first record?
A: TcRu4Rh

***

Q: Among the records above, which one has the highest offset from the most stable computed form?
A: TcRu4Rh